Entry 1:
Density functional theory data (SCAN) for a PBEsol-optimized structure of LaBe2Br.

Properties
density of states at the Fermi level = 3.78 states/eV per cell
V = 80 Å³/cell
energy above the most stable polymorph in this dataset = 103 meV per atom
space group = Fm-3m, No. 225
raw formation energy = 0.622 eV per atom
total magnetic moment = 0.00 μB/f.u.

a b c (Å): 4.839 4.839 4.839
angles (deg): 60.00 60.00 60.00
Atoms (fractional coordinates):
La 0.000 0.000 0.000
Be 0.250 0.250 0.250
Be 0.750 0.750 0.750
Br 0.500 0.500 0.500

---

Entry 2:
Density functional theory data (SCAN) for a PBEsol-optimized structure of La2MnBeBr.

Properties
density of states at the Fermi level = 1.83 states/eV per cell
V = 110 Å³/cell
space group = P4/mmm, No. 123
raw formation energy = -0.323 eV per atom
total magnetic moment = 0.00 μB/f.u.

a b c (Å): 5.072 5.072 4.259
angles (deg): 90.00 90.00 90.00
Atoms (fractional coordinates):
La 0.000 0.500 0.000
La 0.500 0.000 0.000
Mn 0.000 0.000 0.000
Be 0.000 0.000 0.500
Br 0.500 0.500 0.500